Material: InCuSeBr2
Method: DFT, GGA-PBE
State: optimized geometry

Cell: 4.970 4.970 4.864 Å, 90.00 90.00 90.00°
Element x y z (fractional)
Cu1 0.000 0.000 0.000
Se1 0.000 0.000 0.500
Br1 0.000 0.500 0.000
Br2 0.500 0.000 0.000
In1 0.500 0.500 0.500

N(E_F) (states/eV per atom): 0.94
Uncorrected formation energy (eV per atom): -0.10
Relative energy among the computed polymorphs (meV per atom): 0
M_tot (Bohr magnetons per cell): 0.0